[1]
DFT (PBE) results for a relaxed structure of BaAgN.

Theoretical density (kg/m³): 5685
Spin magnetization (μB/f.u.): 0.000
ΔE_f (raw) (eV/atom): -0.34

a b c (Å): 4.591 4.725 8.300
angles (deg): 104.11 90.39 118.75
Space group P-1 (No. 2)
Asymmetric unit:
Ba  0.091  0.181  0.303
Ag  0.335  0.672  0.999
N  0.420  0.845  0.467

---

[2]
DFT (PBE) results for a relaxed structure of YEr2Tm5Sc.

Theoretical density (kg/m³): 7931
Spin magnetization (μB/f.u.): 0.000
Energy of formation from the pure elements (eV/atom): 0.178

a b c (Å): 5.476 19.665 10.211
angles (deg): 90.00 90.00 90.00
Space group Cmc2_1 (No. 36)
Asymmetric unit:
Y  0.000  0.090  0.000
Er  0.000  0.386  0.282
Er  0.000  0.389  0.859
Tm  0.000  0.020  0.285
Tm  0.000  0.121  0.568
Tm  0.000  0.200  0.252
Tm  0.000  0.224  0.865
Tm  0.000  0.483  0.565
Sc  0.000  0.304  0.561

---

[3]
DFT (PBE) results for a relaxed structure of Tl2SbIr.

Theoretical density (kg/m³): 10897
Spin magnetization (μB/f.u.): 0.000
ΔE_f (raw) (eV/atom): 0.22
E above lowest polymorph (meV/atom): 139

a b c (Å): 5.118 13.336 3.227
angles (deg): 90.00 90.00 90.00
Space group Cmmm (No. 65)
Asymmetric unit:
Tl  0.000  0.178  0.000
Sb  0.000  0.500  0.500
Ir  0.000  0.000  0.500

---

[4]
DFT (PBE) results for a relaxed structure of GeH.

Theoretical density (kg/m³): 4865
Total energy (Ha/atom): -0.1225
Spin magnetization (μB/f.u.): 0.000

a b c (Å): 3.2796 3.2796 5.3975
angles (deg): 90.00 90.00 120.00
Space group P6_3mc (No. 186)
Asymmetric unit:
Ge  0.3333  0.6667  0.0000
H  0.3333  0.6667  0.6434

---

[5]
DFT (PBE) results for a relaxed structure of Li2HoNi9.

Theoretical density (kg/m³): 7512
Spin magnetization (μB/f.u.): 2.309
Energy of formation from the pure elements (eV/atom): -0.162

a b c (Å): 4.8111 4.8111 23.3910
angles (deg): 90.00 90.00 120.00
Space group R-3m (No. 166, hexagonal axes)
Asymmetric unit:
Li  0.0000  0.0000  0.1452
Ho  0.0000  0.0000  0.0000
Ni  0.0000  0.0000  0.3332
Ni  0.0000  0.0000  0.5000
Ni  0.0021  0.5011  0.9152

---

[6]
DFT (PBE) results for a relaxed structure of Be2AgHg.

Theoretical density (kg/m³): 9553
Spin magnetization (μB/f.u.): 0.000
Energy of formation from the pure elements (eV/atom): 0.350

a b c (Å): 2.882 3.975 5.128
angles (deg): 90.00 105.03 90.00
Space group Pm (No. 6)
Asymmetric unit:
Be  0.000  0.000  0.000
Be  0.118  0.500  0.248
Ag  0.422  0.500  0.835
Hg  0.720  0.000  0.448

---

[7]
DFT (PBE) results for a relaxed structure of ZnCuP2.

Theoretical density (kg/m³): 5226
Spin magnetization (μB/f.u.): 0.000
Energy of formation from the pure elements (eV/atom): 0.200

a b c (Å): 3.205 3.718 10.182
angles (deg): 90.00 90.00 90.00
Space group Imm2 (No. 44)
Asymmetric unit:
Zn  0.000  0.000  0.000
Cu  0.000  0.500  0.814
P  0.000  0.000  0.610
P  0.000  0.500  0.277

---

[8]
DFT (PBE) results for a relaxed structure of Zn6GaO6.

Theoretical density (kg/m³): 4910
Spin magnetization (μB/f.u.): 0.000
ΔE_f (raw) (eV/atom): -1.12

a b c (Å): 5.736 5.736 5.736
angles (deg): 90.00 90.00 90.00
Space group Pm-3 (No. 200)
Asymmetric unit:
Zn  0.000  0.252  0.500
Ga  0.000  0.000  0.000
O  0.000  0.500  0.250

---

[9]
DFT (PBE) results for a relaxed structure of Pm2ZnBr2.

Theoretical density (kg/m³): 5251
Spin magnetization (μB/f.u.): 0.002
ΔE_f (raw) (eV/atom): -1.09

a b c (Å): 4.0607 4.0607 34.2306
angles (deg): 90.00 90.00 120.00
Space group R-3m (No. 166, hexagonal axes)
Asymmetric unit:
Pm  0.0000  0.0000  0.1106
Zn  0.0000  0.0000  0.5000
Br  0.0000  0.0000  0.2775

---

[10]
DFT (PBE) results for a relaxed structure of Th2GaC.

Theoretical density (kg/m³): 8177
Spin magnetization (μB/f.u.): 0.000
Energy of formation from the pure elements (eV/atom): -0.129

a b c (Å): 6.893 3.851 16.699
angles (deg): 90.00 90.00 90.00
Space group Pnma (No. 62)
Asymmetric unit:
Th  0.111  0.250  0.083
Th  0.151  0.750  0.353
Ga  0.122  0.750  0.743
C  0.086  0.250  0.938

---

[11]
DFT (PBE) results for a relaxed structure of NaPuGeCl6.

Theoretical density (kg/m³): 3527
Spin magnetization (μB/f.u.): 5.000
ΔE_f (raw) (eV/atom): -1.50

a b c (Å): 6.446 6.446 12.514
angles (deg): 90.00 90.00 90.00
Space group P4_2nm (No. 102)
Asymmetric unit:
Na  0.000  0.000  0.000
Pu  0.000  0.000  0.333
Ge  0.000  0.000  0.665
Cl  0.187  0.187  0.505
Cl  0.202  0.202  0.172
Cl  0.202  0.202  0.829

---

[12]
DFT (PBE) results for a relaxed structure of NaBi2Pb2.

Theoretical density (kg/m³): 8919
Spin magnetization (μB/f.u.): 0.000
Energy of formation from the pure elements (eV/atom): -0.092
E above lowest polymorph (meV/atom): 0

a b c (Å): 3.378 5.390 17.492
angles (deg): 90.00 90.00 90.00
Space group Immm (No. 71)
Asymmetric unit:
Na  0.000  0.000  0.000
Bi  0.000  0.000  0.408
Pb  0.000  0.500  0.300

---

[13]
DFT (PBE) results for a relaxed structure of NdSc2Nb.

Theoretical density (kg/m³): 5523
Spin magnetization (μB/f.u.): 0.000
Energy of formation from the pure elements (eV/atom): 0.164
E above lowest polymorph (meV/atom): 0

a b c (Å): 3.712 3.712 7.135
angles (deg): 90.00 90.00 90.00
Space group P4/mmm (No. 123)
Asymmetric unit:
Nd  0.000  0.000  0.000
Sc  0.500  0.500  0.297
Nb  0.000  0.000  0.500

---

[14]
DFT (PBE) results for a relaxed structure of CaAsOs.

Theoretical density (kg/m³): 7721
Spin magnetization (μB/f.u.): 0.000
Energy of formation from the pure elements (eV/atom): -0.218

a b c (Å): 4.1425 4.1425 4.4175
angles (deg): 90.00 90.00 120.00
Space group P-6m2 (No. 187)
Asymmetric unit:
Ca  0.0000  0.0000  0.0000
As  0.3333  0.6667  0.5000
Os  0.6667  0.3333  0.5000

---

[15]
DFT (PBE) results for a relaxed structure of ZnCuNi2.

Theoretical density (kg/m³): 8701
Spin magnetization (μB/f.u.): 0.000
Energy of formation from the pure elements (eV/atom): -0.063

a b c (Å): 2.736 4.137 8.306
angles (deg): 90.00 90.00 90.00
Space group Imm2 (No. 44)
Asymmetric unit:
Zn  0.000  0.000  0.000
Cu  0.000  0.500  0.247
Ni  0.000  0.000  0.496
Ni  0.000  0.500  0.749

---

[16]
DFT (PBE) results for a relaxed structure of NbVTe6.

Theoretical density (kg/m³): 6448
Spin magnetization (μB/f.u.): 1.697
ΔE_f (raw) (eV/atom): -0.13

a b c (Å): 6.325 6.712 6.920
angles (deg): 71.28 64.25 63.71
Space group P-1 (No. 2)
Asymmetric unit:
Nb  0.000  0.000  0.000
V  0.500  0.500  0.500
Te  0.042  0.748  0.734
Te  0.304  0.598  0.183
Te  0.401  0.118  0.679

---

[17]
DFT (PBE) results for a relaxed structure of LaHPt4.

Theoretical density (kg/m³): 13960
Total energy (Ha/atom): -0.2132
Spin magnetization (μB/f.u.): 0.001

a b c (Å): 7.594 7.594 7.594
angles (deg): 90.00 90.00 90.00
Space group F-43m (No. 216)
Asymmetric unit:
La  0.000  0.000  0.000
H  0.250  0.250  0.750
Pt  0.124  0.124  0.376

---

[18]
DFT (PBE) results for a relaxed structure of TaV3Mo3.

Theoretical density (kg/m³): 9070
Spin magnetization (μB/f.u.): 0.000
Energy of formation from the pure elements (eV/atom): 0.418

a b c (Å): 6.9435 6.9435 16.3536
angles (deg): 90.00 90.00 120.00
Space group R-3 (No. 148, hexagonal axes)
Asymmetric unit:
Ta  0.0000  0.0000  0.1522
V  0.0603  0.2674  0.7141
Mo  0.0271  0.2489  0.5655

---

[19]
DFT (PBE) results for a relaxed structure of ReIr2Pt.

Theoretical density (kg/m³): 21419
Spin magnetization (μB/f.u.): 0.000
Energy of formation from the pure elements (eV/atom): -0.118
E above lowest polymorph (meV/atom): 32

a b c (Å): 2.750 3.885 5.557
angles (deg): 90.00 90.00 90.00
Space group Pmmm (No. 47)
Asymmetric unit:
Re  0.000  0.000  0.000
Ir  0.500  0.500  0.240
Pt  0.000  0.000  0.500

---

[20]
DFT (PBE) results for a relaxed structure of Tb12Al6Zn.

Theoretical density (kg/m³): 5895
Spin magnetization (μB/f.u.): 0.002
Energy of formation from the pure elements (eV/atom): 0.091

a b c (Å): 13.3784 13.3784 11.6357
angles (deg): 90.00 90.00 120.00
Space group R-3 (No. 148, hexagonal axes)
Asymmetric unit:
Tb  0.0347  0.8281  0.3833
Tb  0.0553  0.8420  0.8906
Al  0.0494  0.7813  0.6432
Zn  0.0000  0.0000  0.0000